Record 1
## PmTlCd (PBE)

Data for an optimized crystal structure of PmTlCd.

a b c (Å): 5.0271 5.0271 5.0271
angles (deg): 60.00 60.00 60.00
With the nearest neighbours (Å) after each atom.
Sites, in units of the cell vectors:
Pm1 0.0000 0.0000 0.0000  4 Tl 3.08
Tl1 0.2500 0.2500 0.2500  4 Cd 3.08, 4 Pm 3.08
Cd1 0.5000 0.5000 0.5000  4 Tl 3.08

Space-group type = F-43m
Fermi-level density of states = 0.23 states/eV/cell
Formation energy = -0.232 eV per atom

***

Record 2
## Pm12TlCd6 (PBE)

Data for an optimized crystal structure of Pm12TlCd6.

a b c (Å): 9.1921 9.1921 9.1921
angles (deg): 111.23 111.23 111.23
With the nearest neighbours (Å) after each atom.
Sites, in units of the cell vectors:
Pm1 0.8312 0.2625 0.8950  6 Pm 3.31-3.59, 5 Cd 3.32-3.48, 1 Tl 3.53
Pm2 0.1050 0.1688 0.7375  6 Pm 3.31-3.59, 5 Cd 3.32-3.48, 1 Tl 3.53
Pm3 0.2625 0.8950 0.8312  6 Pm 3.31-3.59, 5 Cd 3.32-3.48, 1 Tl 3.53
Pm4 0.1994 0.3277 0.4707  7 Pm 3.31-3.59, 4 Cd 3.34-3.57, 1 Tl 3.46
Pm5 0.5293 0.8006 0.6723  7 Pm 3.31-3.59, 4 Cd 3.34-3.57, 1 Tl 3.46
Pm6 0.7375 0.1050 0.1688  6 Pm 3.31-3.59, 5 Cd 3.32-3.48, 1 Tl 3.53
Pm7 0.8950 0.8312 0.2625  6 Pm 3.31-3.59, 5 Cd 3.32-3.48, 1 Tl 3.53
Pm8 0.8006 0.6723 0.5293  7 Pm 3.31-3.59, 4 Cd 3.34-3.57, 1 Tl 3.46
Pm9 0.3277 0.4707 0.1994  7 Pm 3.31-3.59, 4 Cd 3.34-3.57, 1 Tl 3.46
Pm10 0.6723 0.5293 0.8006  7 Pm 3.31-3.59, 4 Cd 3.34-3.57, 1 Tl 3.46
Pm11 0.1688 0.7375 0.1050  6 Pm 3.31-3.59, 5 Cd 3.32-3.48, 1 Tl 3.53
Pm12 0.4707 0.1994 0.3277  7 Pm 3.31-3.59, 4 Cd 3.34-3.57, 1 Tl 3.46
Cd1 0.3552 0.0536 0.5770  9 Pm 3.32-3.57, 3 Cd 3.42-3.70
Cd2 0.4230 0.6448 0.9464  9 Pm 3.32-3.57, 3 Cd 3.42-3.70
Cd3 0.9464 0.4230 0.6448  9 Pm 3.32-3.57, 3 Cd 3.42-3.70
Cd4 0.0536 0.5770 0.3552  9 Pm 3.32-3.57, 3 Cd 3.42-3.70
Cd5 0.6448 0.9464 0.4230  9 Pm 3.32-3.57, 3 Cd 3.42-3.70
Cd6 0.5770 0.3552 0.0536  9 Pm 3.32-3.57, 3 Cd 3.42-3.70
Tl1 0.0000 0.0000 0.0000  12 Pm 3.46-3.53

Space-group type = R-3
Fermi-level density of states = 25.16 states/eV/cell
Formation energy = -0.146 eV per atom

***

Record 3
## Pm3Tl2Cd (PBE)

Data for an optimized crystal structure of Pm3Tl2Cd.

a b c (Å): 5.4675 5.4675 13.3980
angles (deg): 90.00 90.00 120.00
With the nearest neighbours (Å) after each atom.
Sites, in units of the cell vectors:
Pm1 0.3333 0.6667 0.9161  1 Cd 3.32, 7 Tl 3.35-3.43
Pm2 0.0000 0.0000 0.7484  5 Tl 3.33-3.37, 3 Cd 3.33
Pm3 0.6667 0.3333 0.0839  1 Cd 3.32, 7 Tl 3.35-3.43
Pm4 0.6667 0.3333 0.5819  4 Tl 3.30-3.34, 4 Cd 3.35-3.36
Pm5 0.3333 0.6667 0.4181  4 Tl 3.30-3.34, 4 Cd 3.35-3.36
Pm6 0.0000 0.0000 0.2516  5 Tl 3.33-3.37, 3 Cd 3.33
Tl1 0.0000 0.0000 0.5000  8 Pm 3.33-3.34
Tl2 0.0000 0.0000 0.0000  8 Pm 3.35-3.37
Tl3 0.6667 0.3333 0.8283  8 Pm 3.30-3.43
Tl4 0.3333 0.6667 0.1717  8 Pm 3.30-3.43
Cd1 0.6667 0.3333 0.3319  8 Pm 3.32-3.36
Cd2 0.3333 0.6667 0.6681  8 Pm 3.32-3.36

Space-group type = P-3m1
Fermi-level density of states = 15.28 states/eV/cell
Formation energy = -0.369 eV per atom